(1)
CsTeI2O: relaxed, GGA-PBE.

Cell lengths 6.521, 6.521, 4.180 Å; angles 90.00, 90.00, 90.00 degrees
Atoms (fractional coordinates):
1 Cs 0.500 0.500 0.500
2 I 0.000 0.500 0.000
3 I 0.500 0.000 0.000
4 Te 0.000 0.000 0.000
5 O 0.000 0.000 0.500

Offset from the most stable computed form (eV/f.u.): 0.000
Size of the total moment (μB/cell): 0.000
Total DFT energy (no corrections) (hartree per atom): -0.11732
E_form (uncorrected) (eV per atom): -0.7817



(2)
CsTeI2O: relaxed, GGA-PBE.

Cell lengths 7.078, 7.078, 3.995 Å; angles 90.00, 90.00, 90.00 degrees
Atoms (fractional coordinates):
1 Cs 0.500 0.500 0.500
2 I 0.000 0.500 0.000
3 I 0.500 0.000 0.000
4 Te 0.000 0.000 0.500
5 O 0.000 0.000 0.000

Offset from the most stable computed form (eV/f.u.): 1.447
Size of the total moment (μB/cell): 0.000
Total DFT energy (no corrections) (hartree per atom): -0.10669
E_form (uncorrected) (eV per atom): -0.4924



What is the size of the total moment in the second record? 0.000 μB/cell



Which of these has the lowest offset from the most stable computed form? number 1



E_form (uncorrected) of number 2 (CsTeI2O)? -0.4924 eV per atom